Entry from Alexandria: a relaxed structure of PrNdSmY (PBE-GGA).

a = 5.1708 Å, b = 5.1708 Å, c = 10.3067 Å
α = 90.00°, β = 90.00°, γ = 90.00°
Closest atoms and distances in Å follow each position.
Space group I-4m2 (No. 119)
Inequivalent atoms, fractional coordinates:
Pr1 0.0000 0.0000 0.0000 x2  4 Nd 3.65, 4 Sm 3.65, 4 Y 3.66
Nd1 0.0000 0.5000 0.2500 x2  4 Y 3.65, 4 Pr 3.65, 4 Sm 3.66
Sm1 0.0000 0.5000 0.7500 x2  4 Pr 3.65, 4 Y 3.65, 4 Nd 3.66
Y1 0.0000 0.0000 0.5000 x2  4 Nd 3.65, 4 Sm 3.65, 4 Pr 3.66

## Properties
- energy relative to the lowest polymorph listed for this composition (meV/atom) = 0.0
- D(E_F) (states/eV per atom) = 1.507
- spin magnetization (μB per formula unit) = 0.000
- ΔE_f (eV/f.u.) = 0.1
- DFT total energy (Ry/atom) = -0.3798